# 1
# Rb2CdICl6

A relaxed structure of Rb2CdICl6 (PBE, Alexandria via LeMat-Bulk).

Unit cell a=7.8693 b=7.8693 c=7.8693 alpha=117.78 beta=117.78 gamma=93.89
With the nearest neighbours (Å) after each atom.
Fractional positions:
Rb  0.2500  0.7500  0.5000  12 Cl 3.95-4.07
Rb  0.7500  0.2500  0.5000  12 Cl 3.95-4.07
Cd  0.0000  0.0000  0.0000  4 Cl 2.53
I  0.5000  0.5000  0.0000  2 Cl 2.51
Cl  0.2202  0.2202  0.4404  1 Cd 2.53
Cl  0.2202  0.7798  0.0000  1 Cd 2.53
Cl  0.2660  0.2660  0.0000  1 I 2.51
Cl  0.7340  0.7340  0.0000  1 I 2.51
Cl  0.7798  0.2202  0.0000  1 Cd 2.53
Cl  0.7798  0.7798  0.5596  1 Cd 2.53

Results
ΔE_f (raw) (eV per atom): -1.06

=====

# 2
# Sr2VFe

A relaxed structure of Sr2VFe (PBE, Alexandria via LeMat-Bulk).

Unit cell a=11.7060 b=11.7060 c=4.3022 alpha=90.00 beta=90.00 gamma=90.00
With the nearest neighbours (Å) after each atom.
Fractional positions:
Sr  0.0694  0.2500  0.1250  2 Fe 3.08, 2 V 3.44
Sr  0.2500  0.5694  0.3750  2 Fe 3.08, 2 V 3.44
Sr  0.2500  0.9306  0.8750  2 Fe 3.08, 2 V 3.44
Sr  0.4306  0.2500  0.6250  2 Fe 3.08, 2 V 3.44
Sr  0.5694  0.7500  0.6250  2 Fe 3.08, 2 V 3.44
Sr  0.7500  0.0694  0.8750  2 Fe 3.08, 2 V 3.44
Sr  0.7500  0.4306  0.3750  2 Fe 3.08, 2 V 3.44
Sr  0.9306  0.7500  0.1250  2 Fe 3.08, 2 V 3.44
V  0.0000  0.0000  0.5000  2 Fe 2.15
V  0.0000  0.5000  0.7500  2 Fe 2.15
V  0.5000  0.0000  0.2500  2 Fe 2.15
V  0.5000  0.5000  0.0000  2 Fe 2.15
Fe  0.0000  0.0000  0.0000  2 V 2.15
Fe  0.0000  0.5000  0.2500  2 V 2.15
Fe  0.5000  0.0000  0.7500  2 V 2.15
Fe  0.5000  0.5000  0.5000  2 V 2.15

=====

# 3
# Y2Te2F

A relaxed structure of Y2Te2F (PBE, Alexandria via LeMat-Bulk).

Unit cell a=19.1722 b=19.1722 c=19.1722 alpha=168.04 beta=168.04 gamma=16.95
With the nearest neighbours (Å) after each atom.
Fractional positions:
Y  0.0892  0.3392  0.7500  2 F 2.42
Y  0.3392  0.0892  0.2500  2 F 2.42
Y  0.6608  0.9108  0.7500  2 F 2.42
Y  0.9108  0.6608  0.2500  2 F 2.42
Te  0.1953  0.4453  0.7500  4 Y 3.11, 2 F 3.33
Te  0.4453  0.1953  0.2500  4 Y 3.11, 2 F 3.33
Te  0.5547  0.8047  0.7500  4 Y 3.11, 2 F 3.33
Te  0.8047  0.5547  0.2500  4 Y 3.11, 2 F 3.33
F  0.1250  0.8750  0.2500  4 Y 2.42
F  0.8750  0.1250  0.7500  4 Y 2.42

Results
ΔE_f (raw) (eV per atom): -1.90

=====

# 4
# ZnMoRh2

A relaxed structure of ZnMoRh2 (PBE, Alexandria via LeMat-Bulk).

Unit cell a=2.7813 b=4.0148 c=5.2167 alpha=90.00 beta=90.00 gamma=90.00
With the nearest neighbours (Å) after each atom.
Fractional positions:
Zn  0.0000  0.0000  0.0000  6 Rh 2.60-2.65, 2 Zn 2.78, 4 Mo 2.85
Mo  0.5000  0.5000  0.7202  6 Rh 2.49-2.73, 2 Mo 2.78
Rh  0.0000  0.0000  0.5007  2 Zn 2.60-2.61, 4 Mo 2.70, 6 Rh 2.78-2.91
Rh  0.5000  0.5000  0.1969  2 Mo 2.49-2.73, 4 Zn 2.65, 2 Rh 2.78

=====

# 5
# Sm4DyTm10

A relaxed structure of Sm4DyTm10 (PBE, Alexandria via LeMat-Bulk).

Unit cell a=9.3666 b=9.3666 c=9.3666 alpha=99.59 beta=99.59 gamma=131.82
With the nearest neighbours (Å) after each atom.
Fractional positions:
Sm  0.1007  0.7010  0.8017  8 Tm 3.31-3.32
Sm  0.2990  0.1007  0.3997  8 Tm 3.31-3.32
Sm  0.7010  0.8993  0.6003  8 Tm 3.31-3.32
Sm  0.8993  0.2990  0.1983  8 Tm 3.31-3.32
Dy  0.5000  0.5000  0.0000  8 Tm 3.30
Tm  0.0520  0.3503  0.8996  1 Dy 3.30, 3 Sm 3.31
Tm  0.1524  0.0520  0.7017  1 Dy 3.30, 3 Sm 3.31
Tm  0.2500  0.7500  0.5000  4 Sm 3.32
Tm  0.3503  0.4507  0.2983  1 Dy 3.30, 3 Sm 3.31
Tm  0.4507  0.1524  0.1004  1 Dy 3.30, 3 Sm 3.31
Tm  0.5493  0.8476  0.8996  1 Dy 3.30, 3 Sm 3.31
Tm  0.6497  0.5493  0.7017  1 Dy 3.30, 3 Sm 3.31
Tm  0.7500  0.2500  0.5000  4 Sm 3.32
Tm  0.8476  0.9480  0.2983  1 Dy 3.30, 3 Sm 3.31
Tm  0.9480  0.6497  0.1004  1 Dy 3.30, 3 Sm 3.31

=====

# 6
# Dy5TlIn

A relaxed structure of Dy5TlIn (PBE, Alexandria via LeMat-Bulk).

Unit cell a=6.1184 b=6.1184 c=11.4357 alpha=99.19 beta=99.19 gamma=91.16
With the nearest neighbours (Å) after each atom.
Fractional positions:
Dy  0.0113  0.5784  0.1572  2 In 3.27-3.39, 6 Dy 3.29-3.66, 1 Tl 3.37
Dy  0.1175  0.8825  0.7500  2 Tl 3.04, 1 In 3.11, 2 Dy 3.29
Dy  0.2390  0.5217  0.4660  2 Dy 3.16-3.19, 2 In 3.23-3.33, 1 Tl 3.29
Dy  0.4216  0.9887  0.3428  2 In 3.27-3.39, 6 Dy 3.29-3.66, 1 Tl 3.37
Dy  0.4783  0.7610  0.0340  2 Dy 3.16-3.19, 2 In 3.23-3.33, 1 Tl 3.29
Dy  0.5217  0.2390  0.9660  2 Dy 3.16-3.19, 2 In 3.23-3.33, 1 Tl 3.29
Dy  0.5784  0.0113  0.6572  2 In 3.27-3.39, 6 Dy 3.29-3.66, 1 Tl 3.37
Dy  0.7610  0.4783  0.5340  2 Dy 3.16-3.19, 2 In 3.23-3.33, 1 Tl 3.29
Dy  0.8825  0.1175  0.2500  2 Tl 3.04, 1 In 3.11, 2 Dy 3.29
Dy  0.9887  0.4216  0.8428  2 In 3.27-3.39, 6 Dy 3.29-3.66, 1 Tl 3.37
Tl  0.0000  0.0000  0.0000  6 Dy 3.04-3.37
Tl  0.0000  0.0000  0.5000  6 Dy 3.04-3.37
In  0.4736  0.5264  0.7500  9 Dy 3.11-3.39
In  0.5264  0.4736  0.2500  9 Dy 3.11-3.39

=====

# 7
# Mg5Zn6

A relaxed structure of Mg5Zn6 (PBE, Alexandria via LeMat-Bulk).

Unit cell a=14.5787 b=14.5787 c=3.1073 alpha=90.00 beta=90.00 gamma=162.59
With the nearest neighbours (Å) after each atom.
Fractional positions:
Mg  0.0000  0.0000  0.0000  12 Zn 2.98-3.03, 2 Mg 3.11
Mg  0.1892  0.8108  0.5000  7 Zn 2.85-2.92, 2 Mg 3.11
Mg  0.3729  0.6271  0.0000  7 Zn 2.83-2.90, 2 Mg 3.11
Mg  0.6271  0.3729  0.0000  7 Zn 2.83-2.90, 2 Mg 3.11
Mg  0.8108  0.1892  0.5000  7 Zn 2.85-2.92, 2 Mg 3.11
Zn  0.0903  0.9097  0.5000  2 Zn 2.58, 1 Mg 2.85
Zn  0.2748  0.7252  0.0000  2 Zn 2.63, 7 Mg 2.83-2.92
Zn  0.4564  0.5436  0.5000  3 Zn 2.51-2.58
Zn  0.5436  0.4564  0.5000  3 Zn 2.51-2.58
Zn  0.7252  0.2748  0.0000  2 Zn 2.63, 7 Mg 2.83-2.92
Zn  0.9097  0.0903  0.5000  2 Zn 2.58, 1 Mg 2.85

=====

# 8
# LaCd4W

A relaxed structure of LaCd4W (PBE, Alexandria via LeMat-Bulk).

Unit cell a=5.7624 b=5.7624 c=5.7624 alpha=60.00 beta=60.00 gamma=60.00
With the nearest neighbours (Å) after each atom.
Fractional positions:
La  0.0000  0.0000  0.0000  12 Cd 3.38, 4 W 3.53
Cd  0.3760  0.3760  0.3760  6 Cd 2.86-2.90
Cd  0.3760  0.3760  0.8719  6 Cd 2.86-2.90
Cd  0.3760  0.8719  0.3760  6 Cd 2.86-2.90
Cd  0.8719  0.3760  0.3760  6 Cd 2.86-2.90
W  0.7500  0.7500  0.7500  12 Cd 3.38, 4 La 3.53

=====

# 9
# ScMoAsBr2

A relaxed structure of ScMoAsBr2 (PBE, Alexandria via LeMat-Bulk).

Unit cell a=5.1450 b=5.1450 c=4.9971 alpha=90.00 beta=90.00 gamma=90.00
With the nearest neighbours (Å) after each atom.
Fractional positions:
Sc  0.0000  0.0000  0.0000  8 Br 3.59, 4 As 3.64
Mo  0.5000  0.5000  0.5000  2 As 2.50, 4 Br 2.57
As  0.5000  0.5000  0.0000  2 Mo 2.50
Br  0.0000  0.5000  0.5000  2 Mo 2.57
Br  0.5000  0.0000  0.5000  2 Mo 2.57

Results
ΔE_f (raw) (eV per atom): 0.24

=====

# 10
# TbCeSiSe

A relaxed structure of TbCeSiSe (PBE, Alexandria via LeMat-Bulk).

Unit cell a=4.1641 b=4.1641 c=20.5097 alpha=90.00 beta=90.00 gamma=120.00
With the nearest neighbours (Å) after each atom.
Fractional positions:
Tb  0.0000  0.0000  0.0000  3 Si 2.91, 3 Se 2.97
Tb  0.3333  0.6667  0.6667  3 Si 2.91, 3 Se 2.97
Tb  0.6667  0.3333  0.3333  3 Si 2.91, 3 Se 2.97
Ce  0.0000  0.0000  0.5073  3 Si 2.91, 3 Se 3.02
Ce  0.3333  0.6667  0.1739  3 Si 2.91, 3 Se 3.02
Ce  0.6667  0.3333  0.8406  3 Si 2.91, 3 Se 3.02
Si  0.0000  0.0000  0.2534  3 Ce 2.91, 3 Tb 2.91
Si  0.3333  0.6667  0.9201  3 Ce 2.91, 3 Tb 2.91
Si  0.6667  0.3333  0.5868  3 Ce 2.91, 3 Tb 2.91
Se  0.0000  0.0000  0.7515  3 Tb 2.97, 3 Ce 3.02
Se  0.3333  0.6667  0.4182  3 Tb 2.97, 3 Ce 3.02
Se  0.6667  0.3333  0.0848  3 Tb 2.97, 3 Ce 3.02

Results
ΔE_f (raw) (eV per atom): -1.26

=====

# 11
# HgS4Cl2

A relaxed structure of HgS4Cl2 (PBE, Alexandria via LeMat-Bulk).

Unit cell a=7.2597 b=7.2594 c=8.6430 alpha=90.00 beta=114.83 gamma=90.00
With the nearest neighbours (Å) after each atom.
Fractional positions:
Hg  0.0000  0.0000  0.0000  4 Cl 2.57
Hg  0.5000  0.5000  0.0000  4 Cl 2.57
S  0.0354  0.5000  0.4865  2 S 2.13
S  0.2424  0.2930  0.4865  2 S 2.13
S  0.2424  0.7070  0.4865  2 S 2.13
S  0.4494  0.5000  0.4863  2 S 2.13
S  0.5354  0.0000  0.4865  2 S 2.13
S  0.7424  0.2070  0.4865  2 S 2.13
S  0.7424  0.7930  0.4865  2 S 2.13
S  0.9494  0.0000  0.4863  2 S 2.13
Cl  0.2470  0.2498  0.9933  2 Hg 2.57
Cl  0.2470  0.7502  0.9933  2 Hg 2.57
Cl  0.7470  0.2502  0.9933  2 Hg 2.57
Cl  0.7470  0.7498  0.9933  2 Hg 2.57

Results
ΔE_f (raw) (eV per atom): 0.07

=====

# 12
# Mg2AgOs

A relaxed structure of Mg2AgOs (PBE, Alexandria via LeMat-Bulk).

Unit cell a=5.9819 b=7.8934 c=2.8156 alpha=90.00 beta=90.30 gamma=90.00
With the nearest neighbours (Å) after each atom.
Fractional positions:
Mg  0.2500  0.2500  0.0000  4 Mg 2.82-2.99, 4 Ag 2.84-2.85, 4 Os 2.84-2.85
Mg  0.2500  0.7500  0.0000  4 Mg 2.82-2.99, 4 Ag 2.84-2.85, 4 Os 2.84-2.85
Mg  0.7500  0.2500  0.0000  4 Mg 2.82-2.99, 4 Os 2.84-2.85, 4 Ag 2.84-2.85
Mg  0.7500  0.7500  0.0000  4 Mg 2.82-2.99, 4 Os 2.84-2.85, 4 Ag 2.84-2.85
Ag  0.0000  0.0000  0.5000  2 Ag 2.82, 8 Mg 2.84-2.85, 2 Os 2.99
Ag  0.5000  0.5000  0.5000  2 Ag 2.82, 8 Mg 2.84-2.85, 2 Os 2.99
Os  0.0000  0.5000  0.5000  2 Os 2.82, 8 Mg 2.84-2.85, 2 Ag 2.99
Os  0.5000  0.0000  0.5000  2 Os 2.82, 8 Mg 2.84-2.85, 2 Ag 2.99

=====

# 13
# Ta2FePt

A relaxed structure of Ta2FePt (PBE, Alexandria via LeMat-Bulk).

Unit cell a=2.8629 b=3.8181 c=5.7000 alpha=90.00 beta=95.98 gamma=90.00
With the nearest neighbours (Å) after each atom.
Fractional positions:
Ta  0.0551  0.0000  0.2676  4 Fe 2.58-2.89, 3 Ta 2.70-2.86, 4 Pt 2.83
Ta  0.9449  0.0000  0.7324  4 Fe 2.58-2.89, 3 Ta 2.70-2.86, 4 Pt 2.83
Fe  0.5000  0.5000  0.5000  8 Ta 2.58-2.89, 2 Pt 2.85, 2 Fe 2.86
Pt  0.5000  0.5000  0.0000  8 Ta 2.83, 2 Fe 2.85, 2 Pt 2.86

=====

# 14
# LaNd2Sb

A relaxed structure of LaNd2Sb (PBE, Alexandria via LeMat-Bulk).

Unit cell a=4.9932 b=4.9932 c=4.8805 alpha=90.00 beta=90.00 gamma=90.00
With the nearest neighbours (Å) after each atom.
Fractional positions:
La  0.0000  0.0000  0.0000  8 Nd 3.49, 4 Sb 3.53
Nd  0.0000  0.5000  0.5000  4 La 3.49, 4 Sb 3.49, 4 Nd 3.53
Nd  0.5000  0.0000  0.5000  4 La 3.49, 4 Sb 3.49, 4 Nd 3.53
Sb  0.5000  0.5000  0.0000  8 Nd 3.49, 4 La 3.53

Results
ΔE_f (raw) (eV per atom): -0.58

=====

# 15
# Ac12La7Ho

A relaxed structure of Ac12La7Ho (PBE, Alexandria via LeMat-Bulk).

Unit cell a=10.6306 b=10.6306 c=10.6306 alpha=109.47 beta=109.47 gamma=109.47
With the nearest neighbours (Å) after each atom.
Fractional positions:
Ac  0.0723  0.8024  0.2699  2 La 3.15
Ac  0.1976  0.2699  0.4675  2 La 3.15
Ac  0.1976  0.7301  0.9277  2 La 3.15
Ac  0.2699  0.0723  0.8024  2 La 3.15
Ac  0.2699  0.4675  0.1976  2 La 3.15
Ac  0.4675  0.1976  0.2699  2 La 3.15
Ac  0.5325  0.8024  0.7301  2 La 3.15
Ac  0.7301  0.5325  0.8024  2 La 3.15
Ac  0.7301  0.9277  0.1976  2 La 3.15
Ac  0.8024  0.2699  0.0723  2 La 3.15
Ac  0.8024  0.7301  0.5325  2 La 3.15
Ac  0.9277  0.1976  0.7301  2 La 3.15
La  0.0000  0.0000  0.5000  6 Ac 3.15
La  0.0000  0.5000  0.0000  6 Ac 3.15
La  0.0000  0.5000  0.5000  4 Ac 3.72
La  0.5000  0.0000  0.0000  6 Ac 3.15
La  0.5000  0.0000  0.5000  4 Ac 3.72
La  0.5000  0.5000  0.0000  4 Ac 3.72
La  0.5000  0.5000  0.5000  6 Ac 3.15
Ho  0.0000  0.0000  0.0000  12 Ac 4.11

=====

# 16
# Pr2GaRh3

A relaxed structure of Pr2GaRh3 (PBE, Alexandria via LeMat-Bulk).

Unit cell a=5.2332 b=5.2332 c=5.2332 alpha=66.25 beta=66.25 gamma=66.25
With the nearest neighbours (Å) after each atom.
Fractional positions:
Pr  0.1295  0.1295  0.1295  9 Rh 2.98-3.27, 1 Pr 3.15, 3 Ga 3.33
Pr  0.8705  0.8705  0.8705  9 Rh 2.98-3.27, 1 Pr 3.15, 3 Ga 3.33
Ga  0.5000  0.5000  0.5000  6 Rh 2.62
Rh  0.0000  0.5000  0.5000  2 Ga 2.62, 4 Rh 2.86
Rh  0.5000  0.0000  0.5000  2 Ga 2.62, 4 Rh 2.86
Rh  0.5000  0.5000  0.0000  2 Ga 2.62, 4 Rh 2.86

=====

# 17
# Al2Pb2Se

A relaxed structure of Al2Pb2Se (PBE, Alexandria via LeMat-Bulk).

Unit cell a=4.6308 b=4.6308 c=12.5297 alpha=90.00 beta=90.00 gamma=90.00
With the nearest neighbours (Å) after each atom.
Fractional positions:
Al  0.0000  0.0000  0.0980  1 Al 2.45
Al  0.0000  0.0000  0.9020  1 Al 2.45
Al  0.5000  0.5000  0.4020  1 Al 2.45
Al  0.5000  0.5000  0.5980  1 Al 2.45
Pb  0.0000  0.5000  0.2500  4 Al 3.00, 4 Pb 3.27
Pb  0.0000  0.5000  0.7500  4 Al 3.00, 4 Pb 3.27
Pb  0.5000  0.0000  0.2500  4 Al 3.00, 4 Pb 3.27
Pb  0.5000  0.0000  0.7500  4 Al 3.00, 4 Pb 3.27
Se  0.0000  0.0000  0.5000  8 Al 3.50, 8 Pb 3.90
Se  0.5000  0.5000  0.0000  8 Al 3.50, 8 Pb 3.90

Results
ΔE_f (raw) (eV per atom): 0.31

=====

# 18
# Pm2ErRh2

A relaxed structure of Pm2ErRh2 (PBE, Alexandria via LeMat-Bulk).

Unit cell a=7.2856 b=7.2856 c=7.2856 alpha=114.97 beta=86.90 gamma=129.19
With the nearest neighbours (Å) after each atom.
Fractional positions:
Pm  0.1608  0.1342  0.2950  3 Rh 2.79-2.98
Pm  0.3392  0.6342  0.9733  3 Rh 2.79-2.98
Pm  0.6608  0.3658  0.0267  3 Rh 2.79-2.98
Pm  0.8392  0.8658  0.7050  3 Rh 2.79-2.98
Er  0.2500  0.7500  0.5000  4 Rh 2.78
Er  0.7500  0.2500  0.5000  4 Rh 2.78
Rh  0.0938  0.7650  0.8588  2 Er 2.78, 3 Pm 2.79-2.98
Rh  0.4062  0.2650  0.6712  2 Er 2.78, 3 Pm 2.79-2.98
Rh  0.5938  0.7350  0.3288  2 Er 2.78, 3 Pm 2.79-2.98
Rh  0.9062  0.2350  0.1412  2 Er 2.78, 3 Pm 2.79-2.98

=====

# 19
# RbCaSeN2

A relaxed structure of RbCaSeN2 (PBE, Alexandria via LeMat-Bulk).

Unit cell a=4.9518 b=4.9518 c=6.5080 alpha=90.00 beta=90.00 gamma=90.00
With the nearest neighbours (Å) after each atom.
Fractional positions:
Rb  0.0000  0.0000  0.0000  4 N 2.48
Ca  0.5000  0.5000  0.5000  4 Se 3.50
Se  0.0000  0.0000  0.5000  2 Rb 3.25, 4 Ca 3.50
N  0.0000  0.5000  0.0000  2 Rb 2.48
N  0.5000  0.0000  0.0000  2 Rb 2.48

Results
ΔE_f (raw) (eV per atom): 1.38

=====

# 20
# PmZnRuPb

A relaxed structure of PmZnRuPb (PBE, Alexandria via LeMat-Bulk).

Unit cell a=6.9438 b=6.9438 c=6.9438 alpha=90.00 beta=90.00 gamma=90.00
With the nearest neighbours (Å) after each atom.
Fractional positions:
Pm  0.0000  0.0000  0.0000  4 Zn 3.01, 4 Ru 3.01
Pm  0.0000  0.5000  0.5000  4 Zn 3.01, 4 Ru 3.01
Pm  0.5000  0.0000  0.5000  4 Zn 3.01, 4 Ru 3.01
Pm  0.5000  0.5000  0.0000  4 Zn 3.01, 4 Ru 3.01
Zn  0.2500  0.2500  0.7500  4 Pb 3.01, 4 Pm 3.01
Zn  0.2500  0.7500  0.2500  4 Pb 3.01, 4 Pm 3.01
Zn  0.7500  0.2500  0.2500  4 Pb 3.01, 4 Pm 3.01
Zn  0.7500  0.7500  0.7500  4 Pm 3.01, 4 Pb 3.01
Ru  0.2500  0.2500  0.2500  4 Pb 3.01, 4 Pm 3.01
Ru  0.2500  0.7500  0.7500  4 Pb 3.01, 4 Pm 3.01
Ru  0.7500  0.2500  0.7500  4 Pb 3.01, 4 Pm 3.01
Ru  0.7500  0.7500  0.2500  4 Pb 3.01, 4 Pm 3.01
Pb  0.0000  0.0000  0.5000  4 Ru 3.01, 4 Zn 3.01
Pb  0.0000  0.5000  0.0000  4 Ru 3.01, 4 Zn 3.01
Pb  0.5000  0.0000  0.0000  4 Ru 3.01, 4 Zn 3.01
Pb  0.5000  0.5000  0.5000  4 Ru 3.01, 4 Zn 3.01

=====

Values for VASP energy, eV per cell, ordered as above
-26.12; -72.61; -61.15; -27.45; -56.85; -57.72; -16.62; -19.48; -23.94; -73.53; -40.07; -33.67; -39.42; -20.89; -76.42; -39.20; -33.66; -63.44; -16.19; -75.89
Values for V, Å³ per cell, ordered as above
355.3; 589.5; 302.8; 58.3; 559.1; 416.7; 197.6; 135.3; 132.3; 308.0; 413.4; 132.9; 62.0; 121.7; 924.8; 115.0; 268.7; 259.0; 159.6; 334.8